This record from Alexandria via LeMat-Bulk describes a relaxed structure of Ca2SbAs. The functional is PBE.

Lattice parameters (Å, degrees): 8.2611 8.2611 6.6381 90.00 90.00 90.00
Positions (direct):
Ca 0.2207 0.2500 0.1250
Ca 0.2500 0.7207 0.3750
Ca 0.2500 0.7793 0.8750
Ca 0.2793 0.2500 0.6250
Ca 0.7207 0.7500 0.6250
Ca 0.7500 0.2207 0.8750
Ca 0.7500 0.2793 0.3750
Ca 0.7793 0.7500 0.1250
Sb 0.0000 0.0000 0.5000
Sb 0.0000 0.5000 0.7500
Sb 0.5000 0.0000 0.2500
Sb 0.5000 0.5000 0.0000
As 0.0000 0.0000 0.0000
As 0.0000 0.5000 0.2500
As 0.5000 0.0000 0.7500
As 0.5000 0.5000 0.5000

Calculated values
**Symmetry**: I-42d, No. 122
**Electronic total energy**: -3.918 eV per atom


This record from Alexandria via LeMat-Bulk describes a relaxed structure of MgTlOs2. The functional is PBE.

Lattice parameters (Å, degrees): 3.9989 3.9989 4.2229 90.00 90.00 90.00
Positions (direct):
Mg 0.0000 0.0000 0.0000
Tl 0.5000 0.5000 0.0000
Os 0.0000 0.5000 0.5000
Os 0.5000 0.0000 0.5000

Calculated values
**Symmetry**: P4/mmm, No. 123
**Energy relative to the elements**: 3.1 eV per formula unit


This record from Alexandria via LeMat-Bulk describes a relaxed structure of FeMo. The functional is PBE.

Lattice parameters (Å, degrees): 3.6852 3.6852 4.8917 90.00 90.00 120.00
Positions (direct):
Fe 0.0000 0.0000 0.0000
Fe 0.0000 0.0000 0.5000
Mo 0.3333 0.6667 0.2500
Mo 0.6667 0.3333 0.7500

Calculated values
**Symmetry**: P6_3/mmc, No. 194
**Energy relative to the elements**: 1.0 eV per formula unit


This record from Alexandria via LeMat-Bulk describes a relaxed structure of CeAl2Cu3. The functional is PBE.

Lattice parameters (Å, degrees): 5.3413 5.3413 4.0167 90.00 90.00 120.00
Positions (direct):
Ce 0.0000 0.0000 0.0000
Al 0.3333 0.6667 0.0000
Al 0.6667 0.3333 0.0000
Cu 0.0000 0.5000 0.5000
Cu 0.5000 0.0000 0.5000
Cu 0.5000 0.5000 0.5000

Calculated values
**Symmetry**: P6/mmm, No. 191
**Energy relative to the elements**: -1.6 eV per formula unit


This record from Alexandria via LeMat-Bulk describes a relaxed structure of Fe2P12W. The functional is PBE.

Lattice parameters (Å, degrees): 13.7742 5.6880 11.1266 90.00 90.00 90.00
Positions (direct):
Fe 0.1503 0.1036 0.0415
Fe 0.1503 0.8964 0.5415
Fe 0.3497 0.3964 0.5415
Fe 0.3497 0.6036 0.0415
Fe 0.6503 0.3964 0.9585
Fe 0.6503 0.6036 0.4585
Fe 0.8497 0.1036 0.4585
Fe 0.8497 0.8964 0.9585
P 0.0084 0.2560 0.1018
P 0.0084 0.7440 0.6018
P 0.0868 0.0628 0.8561
P 0.0868 0.9372 0.3561
P 0.0918 0.2646 0.5614
P 0.0918 0.7354 0.0614
P 0.1682 0.4829 0.3048
P 0.1682 0.5171 0.8048
P 0.1893 0.1179 0.2294
P 0.1893 0.8821 0.7294
P 0.2027 0.4675 0.0008
P 0.2027 0.5325 0.5008
P 0.2973 0.0325 0.5008
P 0.2973 0.9675 0.0008
P 0.3107 0.3821 0.7294
P 0.3107 0.6179 0.2294
P 0.3318 0.0171 0.8048
P 0.3318 0.9829 0.3048
P 0.4082 0.2354 0.0614
P 0.4082 0.7646 0.5614
P 0.4132 0.4372 0.3561
P 0.4132 0.5628 0.8561
P 0.4916 0.2440 0.6018
P 0.4916 0.7560 0.1018
P 0.5084 0.2440 0.8982
P 0.5084 0.7560 0.3982
P 0.5868 0.4372 0.1439
P 0.5868 0.5628 0.6439
P 0.5918 0.2354 0.4386
P 0.5918 0.7646 0.9386
P 0.6682 0.0171 0.6952
P 0.6682 0.9829 0.1952
P 0.6893 0.3821 0.7706
P 0.6893 0.6179 0.2706
P 0.7027 0.0325 0.9992
P 0.7027 0.9675 0.4992
P 0.7973 0.4675 0.4992
P 0.7973 0.5325 0.9992
P 0.8107 0.1179 0.2706
P 0.8107 0.8821 0.7706
P 0.8318 0.4829 0.1952
P 0.8318 0.5171 0.6952
P 0.9082 0.2646 0.9386
P 0.9082 0.7354 0.4386
P 0.9132 0.0628 0.6439
P 0.9132 0.9372 0.1439
P 0.9916 0.2560 0.3982
P 0.9916 0.7440 0.8982
W 0.0000 0.3995 0.7500
W 0.0000 0.6005 0.2500
W 0.5000 0.1005 0.2500
W 0.5000 0.8995 0.7500

Calculated values
**Symmetry**: Pbcn, No. 60
**Energy relative to the elements**: -5.2 eV per formula unit


This record from Alexandria via LeMat-Bulk describes a relaxed structure of Fe2PdRh3. The functional is PBE.

Lattice parameters (Å, degrees): 2.9730 2.9730 9.6195 90.00 90.00 90.00
Positions (direct):
Fe 0.0000 0.0000 0.1612
Fe 0.0000 0.0000 0.8388
Pd 0.0000 0.0000 0.5000
Rh 0.5000 0.5000 0.0000
Rh 0.5000 0.5000 0.3082
Rh 0.5000 0.5000 0.6918

Calculated values
**Symmetry**: P4/mmm, No. 123
**Energy relative to the elements**: 0.1 eV per formula unit


no.,D(E_F) (states/eV per atom)
1,0.10
2,1.40
3,1.07
4,1.91
5,0.07
6,1.10